{"formula": "K3Pm2CoO6", "functional": "PBE with a Hubbard U", "state": "relaxed", "cell": [[3.0094, -5.1301, 0.0000], [3.0094, 5.1301, 0.0000], [-2.0029, 0.0000, 6.2589]], "species": ["K", "K", "K", "Pm", "Pm", "Co", "O", "O", "O", "O", "O", "O"], "frac_coords": [[0.0000, 0.0000, 0.0000], [0.3401, 0.6599, 0.0000], [0.6599, 0.3401, 0.0000], [0.1659, 0.8341, 0.5000], [0.8341, 0.1659, 0.5000], [0.5000, 0.5000, 0.5000], [0.1407, 0.4377, 0.3194], [0.2416, 0.2416, 0.6956], [0.4377, 0.1407, 0.3194], [0.5623, 0.8593, 0.6806], [0.7584, 0.7584, 0.3044], [0.8593, 0.5623, 0.6806]], "vol_a3_per_fu": 193, "crystal_system": "monoclinic", "final_energy_ev_per_atom": -6.02, "density_g_cm3": 4.831}